FeRe2Ir2: relaxed, GGA-PBE.

Cell: 7.577 7.577 2.713 Å, 90.00 90.00 90.00°
Space group P4/mbm (No. 127)
One atom of each set of equivalent atoms:
Fe (0.000, 0.000, 0.000)
Re (0.172, 0.328, 0.500)
Ir (0.124, 0.624, 0.000)

**ΔE_f**: 111 kJ/mol of formula units
**Energy relative to the lowest polymorph listed for this composition**: 227 meV per atom
**N(E_F)**: 4.3 states/eV/f.u.



Fe4ReIr15: relaxed, GGA-PBE.

Cell: 3.846 3.846 19.174 Å, 90.00 90.00 90.00°
Space group P4/mmm (No. 123)
One atom of each set of equivalent atoms:
Fe (0.000, 0.000, 0.100)
Fe (0.000, 0.000, 0.296)
Re (0.000, 0.000, 0.500)
Ir (0.000, 0.500, 0.000)
Ir (0.000, 0.500, 0.199)
Ir (0.000, 0.500, 0.400)
Ir (0.500, 0.500, 0.099)
Ir (0.500, 0.500, 0.299)
Ir (0.500, 0.500, 0.500)

**ΔE_f**: -121 kJ/mol of formula units
**N(E_F)**: 21.1 states/eV/f.u.



Fe2ReIr2: relaxed, GGA-PBE.

Cell: 7.098 7.098 2.728 Å, 90.00 90.00 90.00°
Space group P4/mbm (No. 127)
One atom of each set of equivalent atoms:
Fe (0.169, 0.331, 0.000)
Re (0.000, 0.000, 0.500)
Ir (0.129, 0.629, 0.500)

**ΔE_f**: 111 kJ/mol of formula units
**Energy relative to the lowest polymorph listed for this composition**: 80 meV per atom
**N(E_F)**: 6.1 states/eV/f.u.